A relaxed FeHgRu2O crystal, computed with PBE with a Hubbard U.

Values from the calculation:
Volume (Å³/cell): 83.4
Total energy (eV/atom): -4.99
SG: P4/mmm, No. 123
ΔE to the lowest computed polymorph (meV/atom): 0

Cell: 4.883 4.883 3.500 Å, 90.00 90.00 90.00°
Positions (direct):
Fe 0.000 0.000 0.000
Hg 0.500 0.500 0.500
Ru 0.000 0.500 0.000
Ru 0.500 0.000 0.000
O 0.000 0.000 0.500